Record 1
Here is an optimized crystal structure of Pm4Pr8Er3 from Alexandria via LeMat-Bulk. Energies are from PBE.

## Properties
calculated formation energy	311	meV/atom
M_tot	0.03	μB per formula unit
E	-4.417	eV per atom
crystal system	monoclinic
V	527.50	Å³/f.u.

Cell lengths 14.0695, 12.3620, 6.9289 Å; angles 90.00, 118.90, 90.00 degrees
Last column: nearest neighbours and their distance in Å.
Space group C2/m (No. 12)
Inequivalent atoms, fractional coordinates:
Pm  0.0000  0.0000  0.0000  2 Pr 3.05
Pm  0.0000  0.0000  0.5000  2 Pr 3.06
Pm  0.2500  0.2500  0.0000  2 Er 3.46, 8 Pr 3.50-3.70
Pr  0.0000  0.2478  0.5000  1 Pm 3.06, 1 Er 3.12
Pr  0.0000  0.2979  0.0000  4 Pr 3.52-3.53, 3 Pm 3.57-3.68, 2 Er 3.60
Pr  0.2015  0.5000  0.1734  4 Pr 3.43-3.62, 3 Pm 3.50-3.68, 2 Er 3.69
Pr  0.2465  0.0000  0.2898  1 Pm 3.05, 3 Er 3.13-3.41
Er  0.0000  0.5000  0.5000  4 Pr 3.12-3.13
Er  0.2500  0.2500  0.5000  8 Pr 3.41-3.69, 2 Pm 3.46

Record 2
Here is an optimized crystal structure of PmPr4Er4 from Alexandria via LeMat-Bulk. Energies are from PBE.

## Properties
calculated formation energy	23	meV/atom
M_tot	0.00	μB per formula unit
E	-4.657	eV per atom
crystal system	tetragonal
V	300.83	Å³/f.u.

Cell lengths 10.8527, 10.8527, 5.1082 Å; angles 90.00, 90.00, 90.00 degrees
Last column: nearest neighbours and their distance in Å.
Space group I4/mmm (No. 139)
Inequivalent atoms, fractional coordinates:
Pm  0.0000  0.0000  0.0000  8 Pr 3.62, 4 Er 3.65
Pr  0.1676  0.1676  0.5000  4 Pr 3.59-3.64, 6 Er 3.61-3.63, 2 Pm 3.62
Er  0.0000  0.3367  0.0000  5 Er 3.54-3.58, 6 Pr 3.61-3.63, 1 Pm 3.65

Question: The highest M_tot belongs to which entry?
Answer: Pm4Pr8Er3

Please write out number 2 again, unchanged.
Here is an optimized crystal structure of PmPr4Er4 from Alexandria via LeMat-Bulk. Energies are from PBE.

## Properties
calculated formation energy	23	meV/atom
M_tot	0.00	μB per formula unit
E	-4.657	eV per atom
crystal system	tetragonal
V	300.83	Å³/f.u.

Cell lengths 10.8527, 10.8527, 5.1082 Å; angles 90.00, 90.00, 90.00 degrees
Last column: nearest neighbours and their distance in Å.
Space group I4/mmm (No. 139)
Inequivalent atoms, fractional coordinates:
Pm  0.0000  0.0000  0.0000  8 Pr 3.62, 4 Er 3.65
Pr  0.1676  0.1676  0.5000  4 Pr 3.59-3.64, 6 Er 3.61-3.63, 2 Pm 3.62
Er  0.0000  0.3367  0.0000  5 Er 3.54-3.58, 6 Pr 3.61-3.63, 1 Pm 3.65

Question: Number 2 is which compound?
Answer: PmPr4Er4

Question: calculated formation energy of number 1 (Pm4Pr8Er3)?
Answer: 311 meV/atom